A plane-wave DFT calculation with PBE was carried out for Ce3MgMn after structural relaxation.

Total moment, μB/f.u.: 0.86
N(E_F), states/eV per cell: 12.03
Theoretical density, g cm⁻³: 6.2
E_form, eV per atom: 0.07
Total energy, eV per formula unit: -28.237

a b c (Å): 5.1016 5.1016 5.1016
angles (deg): 90.00 90.00 90.00
Sites, in units of the cell vectors:
Mg 0.5000 0.5000 0.5000
Mn 0.0000 0.0000 0.0000
Ce 0.0000 0.5000 0.0000
Ce 0.0000 0.0000 0.5000
Ce 0.5000 0.0000 0.0000

A plane-wave DFT calculation with PBE was carried out for Li4Tl3Bi after structural relaxation.

Total moment, μB/f.u.: 0.00
N(E_F), states/eV per cell: 2.47
Theoretical density, g cm⁻³: 8.0
E_form, eV per atom: -0.28
Total energy, eV per formula unit: -20.860

a b c (Å): 4.9657 4.9656 7.9819
angles (deg): 108.20 108.12 90.00
Sites, in units of the cell vectors:
Tl 0.0000 0.5000 0.0000
Tl 0.7494 0.2497 0.4989
Tl 0.2506 0.7503 0.5011
Bi 0.5000 0.0000 0.0000
Li 0.3740 0.3741 0.7481
Li 0.6260 0.6259 0.2519
Li 0.1260 0.1259 0.2519
Li 0.8740 0.8741 0.7481

A plane-wave DFT calculation with PBE was carried out for La4Mg3In after structural relaxation.

Total moment, μB/f.u.: 0.00
N(E_F), states/eV per cell: 8.78
Theoretical density, g cm⁻³: 5.0
E_form, eV per atom: -0.23
Total energy, eV per formula unit: -29.056

a b c (Å): 5.5885 5.5885 9.6935
angles (deg): 73.25 73.25 60.00
Sites, in units of the cell vectors:
Mg 0.2482 0.2482 0.2553
Mg 0.7518 0.7518 0.7447
Mg 0.5000 0.5000 0.5000
In 0.0000 0.0000 0.0000
La 0.8751 0.8751 0.3747
La 0.3750 0.3750 0.8750
La 0.1249 0.1249 0.6253
La 0.6250 0.6250 0.1250

A plane-wave DFT calculation with PBE was carried out for NaB2MoH after structural relaxation.

Total moment, μB/f.u.: 0.00
N(E_F), states/eV per cell: 2.30
Theoretical density, g cm⁻³: 4.6
Total energy, eV per formula unit: -22.788

a b c (Å): 3.9131 3.3282 3.9131
angles (deg): 90.00 90.00 90.00
Sites, in units of the cell vectors:
Na 0.5000 0.5000 0.5000
Mo 0.0000 0.5000 0.0000
B 0.0000 0.0000 0.5000
B 0.5000 0.0000 0.0000
H 0.0000 0.0000 0.0000

A plane-wave DFT calculation with PBE was carried out for Te3Br after structural relaxation.

Energy relative to the elements, uncorrected, eV per atom: 0.046
Total moment, μB/f.u.: 0.00
N(E_F), states/eV per cell: 2.69
Theoretical density, g cm⁻³: 5.9
ΔE to the lowest computed polymorph, eV/atom: 0.147
Total energy, eV per formula unit: -10.916

a b c (Å): 4.4071 3.3659 9.3619
angles (deg): 111.21 90.00 90.00
Sites, in units of the cell vectors:
Te 0.5000 0.7430 0.7441
Te 0.0000 0.5000 0.5000
Te 0.5000 0.2570 0.2559
Br 0.0000 0.0000 0.0000

A plane-wave DFT calculation with PBE was carried out for LaGd3P after structural relaxation.

Total moment, μB/f.u.: 23.52
N(E_F), states/eV per cell: 7.41
Theoretical density, g cm⁻³: 6.5
E_form, eV per atom: -0.45
Total energy, eV per formula unit: -54.834

a b c (Å): 5.4795 5.4795 5.4795
angles (deg): 90.00 90.00 90.00
Sites, in units of the cell vectors:
P 0.0000 0.0000 0.0000
Gd 0.0000 0.5000 0.0000
Gd 0.0000 0.0000 0.5000
Gd 0.5000 0.0000 0.0000
La 0.5000 0.5000 0.5000

A plane-wave DFT calculation with PBE was carried out for ErTm2Zn2 after structural relaxation.

Total moment, μB/f.u.: 0.00
N(E_F), states/eV per cell: 9.06
Theoretical density, g cm⁻³: 8.9
ΔE to the lowest computed polymorph, eV/atom: 0.077
E_form, eV per atom: -0.20
Total energy, eV per formula unit: -17.052

a b c (Å): 5.2404 6.0600 7.9510
angles (deg): 90.00 109.24 90.00
Sites, in units of the cell vectors:
Er 0.5823 0.9028 0.1645
Er 0.4177 0.4028 0.8355
Tm 0.0432 0.2447 0.0865
Tm 0.1990 0.6555 0.3980
Tm 0.8010 0.1555 0.6020
Tm 0.9568 0.7447 0.9135
Zn 0.6211 0.4137 0.2422
Zn 0.2260 0.1489 0.4520
Zn 0.7740 0.6489 0.5480
Zn 0.3789 0.9137 0.7578

A plane-wave DFT calculation with PBE was carried out for Pr2YTm after structural relaxation.

Total moment, μB/f.u.: 0.00
N(E_F), states/eV per cell: 28.36
Theoretical density, g cm⁻³: 6.6
ΔE to the lowest computed polymorph, eV/atom: 0.007
E_form, eV per atom: 0.02
Total energy, eV per formula unit: -20.400

a b c (Å): 5.8250 12.6653 7.3939
angles (deg): 90.00 90.00 90.00
Sites, in units of the cell vectors:
Pr 0.4435 0.0850 0.9992
Pr 0.4435 0.5850 0.5008
Pr 0.9435 0.9150 0.0008
Pr 0.9435 0.4150 0.4992
Pr 0.9431 0.4150 0.0005
Pr 0.4431 0.5850 0.9995
Pr 0.4431 0.0850 0.5005
Pr 0.9431 0.9150 0.4995
Y 0.9432 0.6686 0.2502
Y 0.4432 0.3314 0.7498
Y 0.4432 0.8314 0.7502
Y 0.9432 0.1686 0.2498
Tm 0.9433 0.6669 0.7502
Tm 0.4433 0.8331 0.2502
Tm 0.9433 0.1669 0.7498
Tm 0.4433 0.3331 0.2498

A plane-wave DFT calculation with PBE was carried out for OsRu4Pb after structural relaxation.

Total moment, μB/f.u.: 0.82
N(E_F), states/eV per cell: 11.07
Theoretical density, g cm⁻³: 13.8
E_form, eV per atom: 0.86
Total energy, eV per formula unit: -46.853

a b c (Å): 5.1522 5.1522 5.1522
angles (deg): 60.00 60.00 60.00
Sites, in units of the cell vectors:
Os 0.7500 0.7500 0.7500
Ru 0.8727 0.3758 0.3758
Ru 0.3758 0.3758 0.8727
Ru 0.3758 0.8727 0.3758
Ru 0.3758 0.3758 0.3758
Pb 0.0000 0.0000 0.0000

A plane-wave DFT calculation with PBE was carried out for CdRe2W after structural relaxation.

Total moment, μB/f.u.: 0.00
N(E_F), states/eV per cell: 3.49
Theoretical density, g cm⁻³: 17.1
E_form, eV per atom: 0.60
Total energy, eV per formula unit: -36.353

a b c (Å): 4.8750 4.8750 4.8750
angles (deg): 130.85 130.85 72.04
Sites, in units of the cell vectors:
Re 0.0000 0.0000 0.0000
Re 0.5000 0.5000 0.0000
W 0.2500 0.7500 0.5000
Cd 0.7500 0.2500 0.5000

A plane-wave DFT calculation with PBE was carried out for Ce2PuHfAs4 after structural relaxation.

Total moment, μB/f.u.: 6.69
N(E_F), states/eV per cell: 16.04
Theoretical density, g cm⁻³: 8.6
E_form, eV per atom: -1.23
Total energy, eV per formula unit: -64.604

a b c (Å): 4.0905 7.0997 7.0730
angles (deg): 109.30 90.00 90.00
Sites, in units of the cell vectors:
Ce 0.5000 0.0000 0.5000
Ce 0.0000 0.5000 0.5000
Pu 0.5000 0.5000 0.0000
Hf 0.0000 0.0000 0.0000
As 0.5000 0.2339 0.2312
As 0.5000 0.7661 0.7688
As 0.0000 0.2435 0.7630
As 0.0000 0.7565 0.2370

A plane-wave DFT calculation with PBE was carried out for Pm3Nd2Tm2 after structural relaxation.

Total moment, μB/f.u.: 0.00
N(E_F), states/eV per cell: 11.09
Theoretical density, g cm⁻³: 7.5
ΔE to the lowest computed polymorph, eV/atom: 0.105
E_form, eV per atom: 0.12
Total energy, eV per formula unit: -31.897

a b c (Å): 3.5366 8.6197 9.0407
angles (deg): 118.45 101.28 90.00
Sites, in units of the cell vectors:
Pm 0.0000 0.5000 0.0000
Pm 0.2124 0.7952 0.4248
Pm 0.7876 0.2048 0.5752
Nd 0.5653 0.9127 0.1307
Nd 0.4347 0.0873 0.8693
Tm 0.8513 0.6666 0.7026
Tm 0.1487 0.3334 0.2974

Repeat the third record exactly.
A plane-wave DFT calculation with PBE was carried out for La4Mg3In after structural relaxation.

Total moment, μB/f.u.: 0.00
N(E_F), states/eV per cell: 8.78
Theoretical density, g cm⁻³: 5.0
E_form, eV per atom: -0.23
Total energy, eV per formula unit: -29.056

a b c (Å): 5.5885 5.5885 9.6935
angles (deg): 73.25 73.25 60.00
Sites, in units of the cell vectors:
Mg 0.2482 0.2482 0.2553
Mg 0.7518 0.7518 0.7447
Mg 0.5000 0.5000 0.5000
In 0.0000 0.0000 0.0000
La 0.8751 0.8751 0.3747
La 0.3750 0.3750 0.8750
La 0.1249 0.1249 0.6253
La 0.6250 0.6250 0.1250

- Among the records above, which one has the lowest N(E_F)?
  NaB2MoH

- What is the total energy in the twelfth record?
  -31.897 eV per formula unit

- What is the theoretical density in the ninth record?
  13.8 g cm⁻³